No. 1
! Sr4Nb2O9 (meta-GGA SCAN, single point on PBEsol structure); values from VASP
&SYSTEM
  ibrav = 0, nat = 60, ntyp = 3
/
ATOMIC_SPECIES
Sr 87.62 Sr.upf
Nb 92.91 Nb.upf
O 16.00 O.upf
CELL_PARAMETERS angstrom
5.135 -8.853 0.000
5.135 8.853 0.000
-3.448 0.000 9.451
ATOMIC_POSITIONS crystal
Sr 0.064 0.213 0.625
Sr 0.107 0.893 0.750
Sr 0.150 0.602 0.873
Sr 0.213 0.064 0.125
Sr 0.246 0.754 0.250
Sr 0.305 0.467 0.367
Sr 0.398 0.850 0.627
Sr 0.467 0.305 0.867
Sr 0.533 0.695 0.133
Sr 0.602 0.150 0.373
Sr 0.695 0.533 0.633
Sr 0.754 0.246 0.750
Sr 0.787 0.936 0.875
Sr 0.850 0.398 0.127
Sr 0.893 0.107 0.250
Sr 0.936 0.787 0.375
Nb 0.000 0.500 0.500
Nb 0.163 0.319 0.988
Nb 0.319 0.163 0.488
Nb 0.422 0.578 0.750
Nb 0.500 0.000 0.000
Nb 0.578 0.422 0.250
Nb 0.681 0.837 0.512
Nb 0.837 0.681 0.012
O 0.014 0.314 0.840
O 0.029 0.403 0.328
O 0.030 0.169 0.067
O 0.129 0.712 0.475
O 0.167 0.188 0.366
O 0.169 0.030 0.567
O 0.188 0.167 0.866
O 0.206 0.534 0.635
O 0.221 0.526 0.106
O 0.288 0.871 0.025
O 0.314 0.014 0.340
O 0.338 0.486 0.895
O 0.365 0.367 0.643
O 0.367 0.365 0.143
O 0.403 0.029 0.828
O 0.466 0.794 0.865
O 0.474 0.779 0.394
O 0.486 0.338 0.395
O 0.514 0.662 0.605
O 0.526 0.221 0.606
O 0.534 0.206 0.135
O 0.597 0.971 0.172
O 0.633 0.635 0.857
O 0.635 0.633 0.357
O 0.662 0.514 0.105
O 0.686 0.986 0.660
O 0.712 0.129 0.975
O 0.779 0.474 0.894
O 0.794 0.466 0.365
O 0.812 0.833 0.134
O 0.831 0.970 0.433
O 0.833 0.812 0.634
O 0.871 0.288 0.525
O 0.970 0.831 0.933
O 0.971 0.597 0.672
O 0.986 0.686 0.160
! energy relative to the lowest polymorph listed for this composition: 6 meV/atom

=====

No. 2
First-principles (meta-GGA SCAN) data for SrNb2O6 at its PBEsol-relaxed geometry, as listed in Alexandria via LeMat-Bulk. Values from VASP.

```
&SYSTEM
  ibrav = 0, nat = 36, ntyp = 3
/
ATOMIC_SPECIES
Sr 87.62 Sr.upf
Nb 92.91 Nb.upf
O 16.00 O.upf
CELL_PARAMETERS angstrom
7.703 0.000 0.000
0.000 5.590 0.000
-0.049 0.000 11.120
ATOMIC_POSITIONS crystal
Sr 0.250 0.038 0.040
Sr 0.250 0.462 0.540
Sr 0.750 0.538 0.460
Sr 0.750 0.962 0.960
Nb 0.008 0.528 0.144
Nb 0.008 0.972 0.644
Nb 0.480 0.034 0.358
Nb 0.480 0.466 0.858
Nb 0.520 0.534 0.142
Nb 0.520 0.966 0.642
Nb 0.992 0.028 0.356
Nb 0.992 0.472 0.856
O 0.035 0.722 0.975
O 0.035 0.778 0.475
O 0.052 0.635 0.711
O 0.052 0.865 0.211
O 0.248 0.147 0.372
O 0.248 0.353 0.872
O 0.252 0.035 0.646
O 0.252 0.465 0.146
O 0.446 0.640 0.712
O 0.446 0.860 0.212
O 0.465 0.723 0.975
O 0.465 0.777 0.475
O 0.535 0.223 0.525
O 0.535 0.277 0.025
O 0.554 0.140 0.788
O 0.554 0.360 0.288
O 0.748 0.535 0.854
O 0.748 0.965 0.354
O 0.752 0.647 0.128
O 0.752 0.853 0.628
O 0.948 0.135 0.789
O 0.948 0.365 0.289
O 0.965 0.222 0.525
O 0.965 0.278 0.025
```

=====

No. 3
! Sr4Nb2O9 (meta-GGA SCAN, single point on PBEsol structure); values from VASP
&SYSTEM
  ibrav = 0, nat = 30, ntyp = 3
/
ATOMIC_SPECIES
Sr 87.62 Sr.upf
Nb 92.91 Nb.upf
O 16.00 O.upf
CELL_PARAMETERS angstrom
5.871 0.000 0.000
0.000 15.710 0.000
-2.935 0.000 5.085
ATOMIC_POSITIONS crystal
Sr 0.000 0.000 0.000
Sr 0.000 0.250 0.000
Sr 0.000 0.500 0.000
Sr 0.000 0.750 0.000
Sr 0.333 0.140 0.667
Sr 0.333 0.360 0.667
Sr 0.667 0.640 0.333
Sr 0.667 0.860 0.333
Nb 0.334 0.654 0.667
Nb 0.334 0.846 0.667
Nb 0.666 0.154 0.333
Nb 0.666 0.346 0.333
O 0.036 0.750 0.590
O 0.078 0.603 0.347
O 0.078 0.897 0.347
O 0.270 0.603 0.923
O 0.270 0.897 0.923
O 0.346 0.103 0.269
O 0.346 0.397 0.269
O 0.410 0.750 0.445
O 0.445 0.250 0.035
O 0.555 0.750 0.965
O 0.590 0.250 0.555
O 0.654 0.603 0.731
O 0.654 0.897 0.731
O 0.730 0.103 0.077
O 0.730 0.397 0.077
O 0.922 0.103 0.653
O 0.922 0.397 0.653
O 0.964 0.250 0.410
! energy relative to the lowest polymorph listed for this composition: 0 meV/atom

=====

No. 4
First-principles (meta-GGA SCAN) data for Sr3Nb4O13 at its PBEsol-relaxed geometry, as listed in Alexandria via LeMat-Bulk. Values from VASP.

```
&SYSTEM
  ibrav = 0, nat = 20, ntyp = 3
/
ATOMIC_SPECIES
Sr 87.62 Sr.upf
Nb 92.91 Nb.upf
O 16.00 O.upf
CELL_PARAMETERS angstrom
-1.973 1.973 17.119
1.973 -1.973 17.119
1.973 1.973 -17.119
ATOMIC_POSITIONS crystal
Sr 0.000 0.000 0.000
Sr 0.138 0.138 0.000
Sr 0.862 0.862 0.000
Nb 0.301 0.301 0.000
Nb 0.438 0.438 0.000
Nb 0.562 0.562 0.000
Nb 0.699 0.699 0.000
O 0.056 0.556 0.500
O 0.181 0.681 0.500
O 0.251 0.251 0.000
O 0.319 0.819 0.500
O 0.383 0.383 0.000
O 0.444 0.944 0.500
O 0.500 0.500 0.000
O 0.556 0.056 0.500
O 0.617 0.617 0.000
O 0.681 0.181 0.500
O 0.749 0.749 0.000
O 0.819 0.319 0.500
O 0.944 0.444 0.500
```

=====

No. 5
! Sr5Nb4O15 (meta-GGA SCAN, single point on PBEsol structure); values from VASP
&SYSTEM
  ibrav = 0, nat = 48, ntyp = 3
/
ATOMIC_SPECIES
Sr 87.62 Sr.upf
Nb 92.91 Nb.upf
O 16.00 O.upf
CELL_PARAMETERS angstrom
5.677 0.000 0.000
-2.838 4.916 0.000
0.000 0.000 22.951
ATOMIC_POSITIONS crystal
Sr 0.000 0.000 0.250
Sr 0.000 0.000 0.750
Sr 0.333 0.667 0.140
Sr 0.333 0.667 0.471
Sr 0.333 0.667 0.640
Sr 0.333 0.667 0.971
Sr 0.667 0.333 0.029
Sr 0.667 0.333 0.360
Sr 0.667 0.333 0.529
Sr 0.667 0.333 0.860
Nb 0.000 0.000 0.090
Nb 0.000 0.000 0.410
Nb 0.000 0.000 0.590
Nb 0.000 0.000 0.910
Nb 0.333 0.667 0.303
Nb 0.333 0.667 0.803
Nb 0.667 0.333 0.197
Nb 0.667 0.333 0.697
O 0.000 0.452 0.250
O 0.000 0.548 0.750
O 0.098 0.335 0.055
O 0.098 0.763 0.555
O 0.113 0.329 0.846
O 0.113 0.784 0.346
O 0.216 0.329 0.346
O 0.216 0.887 0.846
O 0.237 0.335 0.555
O 0.237 0.902 0.055
O 0.329 0.113 0.654
O 0.329 0.216 0.154
O 0.335 0.098 0.445
O 0.335 0.237 0.945
O 0.452 0.000 0.250
O 0.452 0.452 0.750
O 0.548 0.000 0.750
O 0.548 0.548 0.250
O 0.665 0.763 0.055
O 0.665 0.902 0.555
O 0.671 0.784 0.846
O 0.671 0.887 0.346
O 0.763 0.098 0.945
O 0.763 0.665 0.445
O 0.784 0.113 0.154
O 0.784 0.671 0.654
O 0.887 0.216 0.654
O 0.887 0.671 0.154
O 0.902 0.237 0.445
O 0.902 0.665 0.945
! energy relative to the lowest polymorph listed for this composition: 0 meV/atom

=====

No. 6
First-principles (meta-GGA SCAN) data for SrNb8O14 at its PBEsol-relaxed geometry, as listed in Alexandria via LeMat-Bulk. Values from VASP.

```
&SYSTEM
  ibrav = 0, nat = 46, ntyp = 3
/
ATOMIC_SPECIES
Sr 87.62 Sr.upf
Nb 92.91 Nb.upf
O 16.00 O.upf
CELL_PARAMETERS angstrom
9.245 0.000 0.000
0.000 10.304 0.000
0.000 0.000 5.966
ATOMIC_POSITIONS crystal
Sr 0.000 0.000 0.000
Sr 0.500 0.500 0.000
Nb 0.115 0.164 0.500
Nb 0.120 0.665 0.000
Nb 0.126 0.423 0.233
Nb 0.126 0.423 0.767
Nb 0.374 0.923 0.233
Nb 0.374 0.923 0.767
Nb 0.380 0.165 0.000
Nb 0.385 0.664 0.500
Nb 0.615 0.336 0.500
Nb 0.620 0.835 0.000
Nb 0.626 0.077 0.233
Nb 0.626 0.077 0.767
Nb 0.874 0.577 0.233
Nb 0.874 0.577 0.767
Nb 0.880 0.335 0.000
Nb 0.885 0.836 0.500
O 0.000 0.000 0.500
O 0.000 0.500 0.500
O 0.004 0.247 0.246
O 0.004 0.247 0.754
O 0.235 0.848 0.000
O 0.238 0.086 0.244
O 0.238 0.086 0.756
O 0.238 0.321 0.500
O 0.262 0.586 0.244
O 0.262 0.586 0.756
O 0.262 0.821 0.500
O 0.265 0.348 0.000
O 0.496 0.747 0.246
O 0.496 0.747 0.754
O 0.500 0.000 0.500
O 0.500 0.500 0.500
O 0.504 0.253 0.246
O 0.504 0.253 0.754
O 0.735 0.652 0.000
O 0.738 0.179 0.500
O 0.738 0.414 0.244
O 0.738 0.414 0.756
O 0.762 0.679 0.500
O 0.762 0.914 0.244
O 0.762 0.914 0.756
O 0.765 0.152 0.000
O 0.996 0.753 0.246
O 0.996 0.753 0.754
```

=====

No. 7
First-principles (meta-GGA SCAN) data for SrNb2O4 at its PBEsol-relaxed geometry, as listed in Alexandria via LeMat-Bulk. Values from VASP.

```
&SYSTEM
  ibrav = 0, nat = 28, ntyp = 3
/
ATOMIC_SPECIES
Sr 87.62 Sr.upf
Nb 92.91 Nb.upf
O 16.00 O.upf
CELL_PARAMETERS angstrom
5.098 0.000 0.000
0.000 12.475 0.000
0.000 0.000 5.887
ATOMIC_POSITIONS crystal
Sr 0.197 0.004 0.250
Sr 0.197 0.496 0.750
Sr 0.803 0.504 0.250
Sr 0.803 0.996 0.750
Nb 0.157 0.747 0.250
Nb 0.157 0.753 0.750
Nb 0.345 0.250 0.000
Nb 0.345 0.250 0.500
Nb 0.655 0.750 0.000
Nb 0.655 0.750 0.500
Nb 0.843 0.247 0.250
Nb 0.843 0.253 0.750
O 0.009 0.144 0.505
O 0.009 0.144 0.995
O 0.009 0.356 0.005
O 0.009 0.356 0.495
O 0.488 0.645 0.250
O 0.488 0.855 0.750
O 0.489 0.648 0.750
O 0.489 0.852 0.250
O 0.511 0.148 0.750
O 0.511 0.352 0.250
O 0.512 0.145 0.250
O 0.512 0.355 0.750
O 0.991 0.644 0.505
O 0.991 0.644 0.995
O 0.991 0.856 0.005
O 0.991 0.856 0.495
```

=====

No. 8
First-principles (meta-GGA SCAN) data for SrNb6O16 at its PBEsol-relaxed geometry, as listed in Alexandria via LeMat-Bulk. Values from VASP.

```
&SYSTEM
  ibrav = 0, nat = 23, ntyp = 3
/
ATOMIC_SPECIES
Sr 87.62 Sr.upf
Nb 92.91 Nb.upf
O 16.00 O.upf
CELL_PARAMETERS angstrom
3.891 0.000 0.000
0.000 5.210 7.436
0.000 -5.210 7.436
ATOMIC_POSITIONS crystal
Sr 0.000 0.000 0.000
Nb 0.500 0.229 0.601
Nb 0.500 0.342 0.979
Nb 0.500 0.596 0.596
Nb 0.500 0.601 0.229
Nb 0.500 0.810 0.810
Nb 0.500 0.979 0.342
O 0.000 0.228 0.599
O 0.000 0.307 0.967
O 0.000 0.599 0.228
O 0.000 0.606 0.606
O 0.000 0.827 0.827
O 0.000 0.967 0.307
O 0.500 0.045 0.790
O 0.500 0.112 0.112
O 0.500 0.136 0.434
O 0.500 0.364 0.747
O 0.500 0.434 0.136
O 0.500 0.459 0.459
O 0.500 0.588 0.838
O 0.500 0.747 0.364
O 0.500 0.790 0.045
O 0.500 0.838 0.588
```

=====

No. 9
First-principles (meta-GGA SCAN) data for SrNbO3 at its PBEsol-relaxed geometry, as listed in Alexandria via LeMat-Bulk. Values from VASP.

```
&SYSTEM
  ibrav = 0, nat = 20, ntyp = 3
/
ATOMIC_SPECIES
Sr 87.62 Sr.upf
Nb 92.91 Nb.upf
O 16.00 O.upf
CELL_PARAMETERS angstrom
5.707 0.000 0.000
0.000 8.066 0.000
0.000 0.000 5.702
ATOMIC_POSITIONS crystal
Sr 0.020 0.250 0.002
Sr 0.480 0.750 0.502
Sr 0.520 0.250 0.498
Sr 0.980 0.750 0.998
Nb 0.000 0.000 0.500
Nb 0.000 0.500 0.500
Nb 0.500 0.000 0.000
Nb 0.500 0.500 0.000
O 0.006 0.750 0.457
O 0.220 0.522 0.780
O 0.220 0.978 0.780
O 0.280 0.022 0.280
O 0.280 0.478 0.280
O 0.494 0.250 0.957
O 0.506 0.750 0.043
O 0.720 0.522 0.720
O 0.720 0.978 0.720
O 0.780 0.022 0.220
O 0.780 0.478 0.220
O 0.994 0.250 0.543
```

=====

No. 10
First-principles (meta-GGA SCAN) data for Sr3NbO at its PBEsol-relaxed geometry, as listed in Alexandria via LeMat-Bulk. Values from VASP.

```
&SYSTEM
  ibrav = 0, nat = 5, ntyp = 3
/
ATOMIC_SPECIES
Sr 87.62 Sr.upf
Nb 92.91 Nb.upf
O 16.00 O.upf
CELL_PARAMETERS angstrom
5.533 0.000 0.000
0.000 5.533 0.000
0.000 0.000 5.533
ATOMIC_POSITIONS crystal
Sr 0.000 0.000 0.500
Sr 0.000 0.500 0.000
Sr 0.500 0.000 0.000
Nb 0.000 0.000 0.000
O 0.500 0.500 0.500
```

=====

No. 11
! Sr5Nb4O15 (meta-GGA SCAN, single point on PBEsol structure); values from VASP
&SYSTEM
  ibrav = 0, nat = 24, ntyp = 3
/
ATOMIC_SPECIES
Sr 87.62 Sr.upf
Nb 92.91 Nb.upf
O 16.00 O.upf
CELL_PARAMETERS angstrom
4.913 -2.836 0.000
4.913 2.836 0.000
-0.009 0.000 11.501
ATOMIC_POSITIONS crystal
Sr 0.000 0.000 0.000
Sr 0.333 0.333 0.437
Sr 0.333 0.333 0.779
Sr 0.667 0.667 0.221
Sr 0.667 0.667 0.563
Nb 0.000 0.000 0.322
Nb 0.000 0.000 0.678
Nb 0.333 0.333 0.106
Nb 0.667 0.667 0.894
O 0.000 0.500 0.000
O 0.165 0.165 0.195
O 0.165 0.672 0.195
O 0.171 0.171 0.607
O 0.171 0.658 0.607
O 0.328 0.835 0.805
O 0.342 0.829 0.393
O 0.500 0.000 0.000
O 0.500 0.500 0.000
O 0.658 0.171 0.607
O 0.672 0.165 0.195
O 0.829 0.342 0.393
O 0.829 0.829 0.393
O 0.835 0.328 0.805
O 0.835 0.835 0.805
! energy relative to the lowest polymorph listed for this composition: 19 meV/atom

=====

No. 12
First-principles (meta-GGA SCAN) data for SrNbO3 at its PBEsol-relaxed geometry, as listed in Alexandria via LeMat-Bulk. Values from VASP.

```
&SYSTEM
  ibrav = 0, nat = 10, ntyp = 3
/
ATOMIC_SPECIES
Sr 87.62 Sr.upf
Nb 92.91 Nb.upf
O 16.00 O.upf
CELL_PARAMETERS angstrom
5.681 0.000 0.000
0.000 5.681 0.000
0.000 0.000 4.070
ATOMIC_POSITIONS crystal
Sr 0.000 0.500 0.000
Sr 0.500 0.000 0.000
Nb 0.000 0.000 0.500
Nb 0.500 0.500 0.500
O 0.000 0.000 0.000
O 0.211 0.289 0.500
O 0.289 0.789 0.500
O 0.500 0.500 0.000
O 0.711 0.211 0.500
O 0.789 0.711 0.500
```

=====

Energy relative to the elements, uncorrected across the listed records, respectively: -3.113 -3.010 -3.118 -2.967 -3.130 -2.656 -2.817 -2.819 -3.011 1.084 -3.111 -3.009 eV/atom.